The following is a PBE calculation of an optimized crystal structure of ScMn2Co, from Alexandria via LeMat-Bulk.

Unit cell a=2.8295 b=2.8295 c=24.6296 alpha=90.00 beta=90.00 gamma=120.00
Space group R3m (No. 160, hexagonal axes)
Symmetry-distinct sites (fractional):
1 Sc 0.0000 0.0000 0.0000 x3
2 Mn 0.0000 0.0000 0.5035 x3
3 Mn 0.0000 0.0000 0.7596 x3
4 Co 0.0000 0.0000 0.2461 x3

Calculated values
**ΔH_f (0 K)**: 0.2628 eV/atom
**Volume**: 170.8 Å³ per cell
**Excess energy over the best structure of this formula in the dataset**: 29.87 kJ/mol of atoms
**Theoretical density**: 6.2 Mg/m³
**Final energy**: -7.681 eV/atom
**DOS at the Fermi energy**: 0.829 states/eV per atom

***

The following is a PBE calculation of an optimized crystal structure of ScMnCo2, from Alexandria via LeMat-Bulk.

Unit cell a=2.9963 b=2.9963 c=6.1876 alpha=90.00 beta=90.00 gamma=90.00
Space group P4mm (No. 99)
Symmetry-distinct sites (fractional):
1 Sc 0.0000 0.0000 0.0000 x1
2 Mn 0.5000 0.5000 0.7071 x1
3 Co 0.0000 0.0000 0.4846 x1
4 Co 0.5000 0.5000 0.2851 x1

Calculated values
**ΔH_f (0 K)**: 0.0578 eV/atom
**Volume**: 55.6 Å³ per cell
**Theoretical density**: 6.5 Mg/m³
**Final energy**: -7.370 eV/atom
**DOS at the Fermi energy**: 1.311 states/eV per atom

***

The following is a PBE calculation of an optimized crystal structure of ScMn2Co, from Alexandria via LeMat-Bulk.

Unit cell a=5.0007 b=8.5731 c=2.6851 alpha=90.00 beta=113.48 gamma=90.00
Space group C2/m (No. 12)
Symmetry-distinct sites (fractional):
1 Sc 0.0000 0.0000 0.0000 x2
2 Mn 0.2500 0.2500 0.5000 x4
3 Co 0.0000 0.5000 0.0000 x2

Calculated values
**ΔH_f (0 K)**: 0.2167 eV/atom
**Volume**: 105.6 Å³ per cell
**Excess energy over the best structure of this formula in the dataset**: 25.42 kJ/mol of atoms
**Theoretical density**: 6.7 Mg/m³
**Final energy**: -7.727 eV/atom
**DOS at the Fermi energy**: 1.560 states/eV per atom

***

The following is a PBE calculation of an optimized crystal structure of ScMnCo, from Alexandria via LeMat-Bulk.

Unit cell a=4.6808 b=5.0653 c=7.0007 alpha=90.00 beta=90.00 gamma=90.00
Space group Imma (No. 74)
Symmetry-distinct sites (fractional):
1 Sc 0.0000 0.2500 0.1215 x4
2 Mn 0.2500 0.2500 0.7500 x4
3 Co 0.0000 0.0000 0.5000 x4

Calculated values
**ΔH_f (0 K)**: -0.2512 eV/atom
**Volume**: 166.0 Å³ per cell
**Excess energy over the best structure of this formula in the dataset**: 0.00 kJ/mol of atoms
**Theoretical density**: 6.4 Mg/m³
**Final energy**: -7.787 eV/atom
**DOS at the Fermi energy**: 1.000 states/eV per atom

***

The following is a PBE calculation of an optimized crystal structure of ScMn2Co, from Alexandria via LeMat-Bulk.

Unit cell a=2.9877 b=2.9877 c=6.1296 alpha=90.00 beta=90.00 gamma=90.00
Space group P4mm (No. 99)
Symmetry-distinct sites (fractional):
1 Sc 0.0000 0.0000 0.0000 x1
2 Mn 0.0000 0.0000 0.4930 x1
3 Mn 0.5000 0.5000 0.7031 x1
4 Co 0.5000 0.5000 0.2707 x1

Calculated values
**ΔH_f (0 K)**: -0.0468 eV/atom
**Volume**: 54.7 Å³ per cell
**Excess energy over the best structure of this formula in the dataset**: 0.00 kJ/mol of atoms
**Theoretical density**: 6.5 Mg/m³
**Final energy**: -7.991 eV/atom
**DOS at the Fermi energy**: 0.431 states/eV per atom

***

The following is a PBE calculation of an optimized crystal structure of ScMn2Co, from Alexandria via LeMat-Bulk.

Unit cell a=3.8730 b=2.9241 c=10.2794 alpha=90.00 beta=90.00 gamma=90.00
Space group Amm2 (No. 38)
Symmetry-distinct sites (fractional):
1 Sc 0.0000 0.0000 0.0000 x2
2 Mn 0.0000 0.0000 0.7386 x2
3 Mn 0.5000 0.0000 0.3111 x2
4 Co 0.5000 0.0000 0.5995 x2

Calculated values
**ΔH_f (0 K)**: 0.1042 eV/atom
**Volume**: 116.4 Å³ per cell
**Excess energy over the best structure of this formula in the dataset**: 14.57 kJ/mol of atoms
**Theoretical density**: 6.1 Mg/m³
**Final energy**: -7.840 eV/atom
**DOS at the Fermi energy**: 1.427 states/eV per atom

***

The following is a PBE calculation of an optimized crystal structure of ScMnCo2, from Alexandria via LeMat-Bulk.

Unit cell a=5.2496 b=7.9366 c=2.7415 alpha=90.00 beta=109.20 gamma=90.00
Space group C2/m (No. 12)
Symmetry-distinct sites (fractional):
1 Sc 0.0000 0.0000 0.0000 x2
2 Mn 0.0000 0.5000 0.0000 x2
3 Co 0.2500 0.2500 0.5000 x4

Calculated values
**ΔH_f (0 K)**: 0.0812 eV/atom
**Volume**: 107.9 Å³ per cell
**Theoretical density**: 6.7 Mg/m³
**Final energy**: -7.347 eV/atom
**DOS at the Fermi energy**: 1.009 states/eV per atom

***

The following is a PBE calculation of an optimized crystal structure of ScMn2Co, from Alexandria via LeMat-Bulk.

Unit cell a=2.8312 b=4.1040 c=5.1826 alpha=90.00 beta=104.17 gamma=90.00
Space group P2/m (No. 10)
Symmetry-distinct sites (fractional):
1 Sc 0.0000 0.0000 0.0000 x1
2 Mn 0.3222 0.5000 0.7184 x2
3 Co 0.5000 0.0000 0.5000 x1

Calculated values
**ΔH_f (0 K)**: 0.1241 eV/atom
**Volume**: 58.4 Å³ per cell
**Excess energy over the best structure of this formula in the dataset**: 16.49 kJ/mol of atoms
**Theoretical density**: 6.1 Mg/m³
**Final energy**: -7.820 eV/atom
**DOS at the Fermi energy**: 0.909 states/eV per atom

***

The following is a PBE calculation of an optimized crystal structure of ScMn2Co9, from Alexandria via LeMat-Bulk.

Unit cell a=4.7508 b=4.7508 c=23.2704 alpha=90.00 beta=90.00 gamma=120.00
Space group R-3m (No. 166, hexagonal axes)
Symmetry-distinct sites (fractional):
1 Sc 0.0000 0.0000 0.0000 x3
2 Mn 0.0000 0.0000 0.1442 x6
3 Co 0.0000 0.0000 0.3357 x6
4 Co 0.0000 0.0000 0.5000 x3
5 Co 0.0079 0.5040 0.9141 x18

Calculated values
**ΔH_f (0 K)**: -0.0278 eV/atom
**Volume**: 454.9 Å³ per cell
**Theoretical density**: 7.5 Mg/m³
**Final energy**: -7.413 eV/atom
**DOS at the Fermi energy**: 1.164 states/eV per atom

***

The following is a PBE calculation of an optimized crystal structure of ScMn2Co, from Alexandria via LeMat-Bulk.

Unit cell a=6.9345 b=6.9345 c=5.1709 alpha=90.00 beta=90.00 gamma=90.00
Space group I-42d (No. 122)
Symmetry-distinct sites (fractional):
1 Sc 0.0000 0.0000 0.0000 x4
2 Mn 0.1970 0.7500 0.6250 x8
3 Co 0.0000 0.0000 0.5000 x4

Calculated values
**ΔH_f (0 K)**: 0.3152 eV/atom
**Volume**: 248.7 Å³ per cell
**Excess energy over the best structure of this formula in the dataset**: 34.93 kJ/mol of atoms
**Theoretical density**: 5.7 Mg/m³
**Final energy**: -7.629 eV/atom
**DOS at the Fermi energy**: 1.322 states/eV per atom

***

The following is a PBE calculation of an optimized crystal structure of Sc4MnCo, from Alexandria via LeMat-Bulk.

Unit cell a=7.8924 b=7.8924 c=7.8924 alpha=90.00 beta=90.00 gamma=90.00
Space group F-43m (No. 216)
Symmetry-distinct sites (fractional):
1 Sc 0.1248 0.1248 0.1248 x16
2 Mn 0.0000 0.0000 0.5000 x4
3 Co 0.2500 0.2500 0.7500 x4

Calculated values
**ΔH_f (0 K)**: 0.6973 eV/atom
**Volume**: 491.6 Å³ per cell
**Theoretical density**: 4.0 Mg/m³
**Final energy**: -6.236 eV/atom
**DOS at the Fermi energy**: 1.995 states/eV per atom

***

The following is a PBE calculation of an optimized crystal structure of ScMn2Co, from Alexandria via LeMat-Bulk.

Unit cell a=3.1464 b=4.1261 c=4.2614 alpha=90.00 beta=90.00 gamma=90.00
Space group Pmmm (No. 47)
Symmetry-distinct sites (fractional):
1 Sc 0.0000 0.0000 0.0000 x1
2 Mn 0.0000 0.5000 0.5000 x1
3 Mn 0.5000 0.0000 0.5000 x1
4 Co 0.5000 0.5000 0.0000 x1

Calculated values
**ΔH_f (0 K)**: 0.0264 eV/atom
**Volume**: 55.3 Å³ per cell
**Excess energy over the best structure of this formula in the dataset**: 7.06 kJ/mol of atoms
**Theoretical density**: 6.4 Mg/m³
**Final energy**: -7.918 eV/atom
**DOS at the Fermi energy**: 0.991 states/eV per atom

***

The following is a PBE calculation of an optimized crystal structure of ScMnCo2, from Alexandria via LeMat-Bulk.

Unit cell a=2.7698 b=2.7698 c=25.2076 alpha=90.00 beta=90.00 gamma=120.00
Space group R3m (No. 160, hexagonal axes)
Symmetry-distinct sites (fractional):
1 Sc 0.0000 0.0000 0.0000 x3
2 Mn 0.0000 0.0000 0.7587 x3
3 Co 0.0000 0.0000 0.2439 x3
4 Co 0.0000 0.0000 0.5045 x3

Calculated values
**ΔH_f (0 K)**: 0.3407 eV/atom
**Volume**: 167.5 Å³ per cell
**Theoretical density**: 6.5 Mg/m³
**Final energy**: -7.088 eV/atom
**DOS at the Fermi energy**: 1.708 states/eV per atom

***

The following is a PBE calculation of an optimized crystal structure of ScMn2Co, from Alexandria via LeMat-Bulk.

Unit cell a=2.9884 b=2.9884 c=6.5595 alpha=90.00 beta=90.00 gamma=90.00
Space group P4/mmm (No. 123)
Symmetry-distinct sites (fractional):
1 Sc 0.0000 0.0000 0.0000 x1
2 Mn 0.5000 0.5000 0.2941 x2
3 Co 0.0000 0.0000 0.5000 x1

Calculated values
**ΔH_f (0 K)**: 0.0906 eV/atom
**Volume**: 58.6 Å³ per cell
**Excess energy over the best structure of this formula in the dataset**: 13.26 kJ/mol of atoms
**Theoretical density**: 6.1 Mg/m³
**Final energy**: -7.854 eV/atom
**DOS at the Fermi energy**: 1.062 states/eV per atom